Record 1
BeNb3Pt | SCAN | PBEsol geometry

a = 4.327 Å, b = 4.327 Å, c = 4.327 Å
α = 90.00°, β = 90.00°, γ = 90.00°
Sites, in units of the cell vectors:
Be 0.000 0.000 0.000
Nb 0.000 0.000 0.500
Nb 0.000 0.500 0.000
Nb 0.500 0.000 0.000
Pt 0.500 0.500 0.500

Computed properties:
For the formation enthalpy at 0 K, the calculation gives 253 meV per atom.

Record 2
SiH12C2N6F6 | SCAN | PBEsol geometry

a = 7.202 Å, b = 7.202 Å, c = 6.060 Å
α = 110.02°, β = 110.02°, γ = 59.84°
Sites, in units of the cell vectors:
Si 0.000 0.000 0.000
H 0.013 0.691 0.250
H 0.014 0.446 0.250
H 0.308 0.553 0.746
H 0.309 0.987 0.750
H 0.446 0.014 0.250
H 0.447 0.692 0.254
H 0.553 0.308 0.746
H 0.554 0.986 0.750
H 0.691 0.013 0.250
H 0.692 0.447 0.254
H 0.986 0.554 0.750
H 0.987 0.309 0.750
C 0.279 0.279 0.729
C 0.721 0.721 0.271
N 0.065 0.387 0.730
N 0.385 0.385 0.720
N 0.387 0.065 0.730
N 0.613 0.935 0.270
N 0.615 0.615 0.280
N 0.935 0.613 0.270
F 0.147 0.147 0.169
F 0.149 0.812 0.180
F 0.188 0.851 0.820
F 0.812 0.149 0.180
F 0.851 0.188 0.820
F 0.853 0.853 0.831

Computed properties:
Its total energy is -6.680 eV/atom.

Record 3
LiSiSe2 | SCAN | PBEsol geometry

a = 5.162 Å, b = 5.162 Å, c = 2.791 Å
α = 90.00°, β = 90.00°, γ = 90.00°
Sites, in units of the cell vectors:
Li 0.000 0.000 0.000
Si 0.500 0.500 0.000
Se 0.000 0.500 0.000
Se 0.500 0.000 0.000

Computed properties:
The formation energy (no corrections) comes out at -8.01 kcal/mol of atoms.

Record 4
NbCuPb2I | SCAN | PBEsol geometry

a = 5.899 Å, b = 5.899 Å, c = 5.061 Å
α = 90.00°, β = 90.00°, γ = 90.00°
Sites, in units of the cell vectors:
Nb 0.000 0.000 0.000
Cu 0.500 0.500 0.000
Pb 0.000 0.500 0.500
Pb 0.500 0.000 0.500
I 0.000 0.000 0.500

Computed properties:
The formation energy (no corrections) comes out at 37.31 kcal/mol of atoms.

Record 5
CuSBrCl2 | SCAN | PBEsol geometry

a = 5.070 Å, b = 5.070 Å, c = 4.760 Å
α = 90.00°, β = 90.00°, γ = 90.00°
Sites, in units of the cell vectors:
Cu 0.000 0.000 0.000
S 0.500 0.500 0.000
Br 0.500 0.500 0.500
Cl 0.000 0.500 0.500
Cl 0.500 0.000 0.500

Computed properties:
The formation energy (no corrections) comes out at 19.88 kcal/mol of atoms.

Record 6
Li2Ag2Pb | SCAN | PBEsol geometry

a = 7.561 Å, b = 7.561 Å, c = 3.165 Å
α = 90.00°, β = 90.00°, γ = 90.00°
Sites, in units of the cell vectors:
Li 0.165 0.335 0.000
Li 0.335 0.835 0.000
Li 0.665 0.165 0.000
Li 0.835 0.665 0.000
Ag 0.129 0.629 0.500
Ag 0.371 0.129 0.500
Ag 0.629 0.871 0.500
Ag 0.871 0.371 0.500
Pb 0.000 0.000 0.500
Pb 0.500 0.500 0.500

Computed properties:
For the formation enthalpy at 0 K, the calculation gives -188 meV per atom. The calculation puts the energy above the most stable polymorph in this dataset at 0 meV per atom.